1.
The following is a DFT calculation (PBE-GGA) of a relaxed Hf8PtN6 crystal.

a b c (Å): 6.118 6.118 6.118
angles (deg): 91.89 91.89 91.89
Fractional positions:
1 Hf 0.742 0.742 0.742
2 Hf 0.258 0.258 0.258
3 Hf 0.609 0.863 0.282
4 Hf 0.863 0.282 0.609
5 Hf 0.282 0.609 0.863
6 Hf 0.391 0.137 0.718
7 Hf 0.137 0.718 0.391
8 Hf 0.718 0.391 0.137
9 Pt 0.000 0.000 0.000
10 N 0.614 0.420 0.807
11 N 0.420 0.807 0.614
12 N 0.807 0.614 0.420
13 N 0.386 0.580 0.193
14 N 0.580 0.193 0.386
15 N 0.193 0.386 0.580

Values from the calculation:
V = 15.24 Å³ per atom
DFT total energy = -10.29 eV per atom



2.
The following is a DFT calculation (PBE-GGA) of a relaxed TcOsPb2 crystal.

a b c (Å): 4.689 4.689 5.637
angles (deg): 78.45 78.45 40.09
Each line ends with the local moment (μB).
Fractional positions:
1 Os 0.250 0.250 0.250  0.01
2 Pb 0.000 0.000 0.001  0.00
3 Pb 0.500 0.500 0.499  0.00
4 Tc 0.750 0.750 0.750  0.32

Values from the calculation:
V = 19.49 Å³ per atom
DFT formation energy = 0.987 eV per atom



3.
The following is a DFT calculation (PBE-GGA) of a relaxed MnNbFeCu crystal.

a b c (Å): 4.268 4.268 4.268
angles (deg): 60.00 60.00 60.00
Each line ends with the local moment (μB).
Fractional positions:
1 Nb 0.000 0.000 0.000  -0.53
2 Mn 0.500 0.500 0.500  3.17
3 Fe 0.750 0.750 0.750  1.53
4 Cu 0.250 0.250 0.250  -0.01

Values from the calculation:
V = 13.75 Å³ per atom
DFT formation energy = 0.138 eV per atom



4.
The following is a DFT calculation (PBE-GGA) of a relaxed ZnSb2Rh crystal.

a b c (Å): 7.063 7.063 7.063
angles (deg): 153.24 147.19 42.83
Fractional positions:
1 Rh 0.784 0.284 0.500
2 Sb 0.946 0.946 0.000
3 Sb 0.215 0.715 0.500
4 Zn 0.556 0.556 0.000

Values from the calculation:
V = 21.44 Å³ per atom
DFT total energy = -4.26 eV per atom



5.
The following is a DFT calculation (PBE-GGA) of a relaxed AlZn2Os crystal.

a b c (Å): 4.788 2.669 4.592
angles (deg): 89.94 90.00 90.00
Fractional positions:
1 Zn 0.000 0.009 0.999
2 Zn 0.000 0.491 0.501
3 Os 0.500 0.750 0.750
4 Al 0.500 0.250 0.250

Values from the calculation:
V = 14.67 Å³ per atom
DFT formation energy = 0.027 eV per atom



6.
The following is a DFT calculation (PBE-GGA) of a relaxed BaCd2Hg9 crystal.

a b c (Å): 3.600 10.221 10.221
angles (deg): 120.00 90.00 90.00
Fractional positions:
1 Ba 0.000 0.000 0.000
2 Cd 0.000 0.667 0.333
3 Cd 0.000 0.333 0.667
4 Hg 0.500 0.819 0.181
5 Hg 0.000 0.000 0.500
6 Hg 0.000 0.500 0.500
7 Hg 0.500 0.819 0.638
8 Hg 0.500 0.181 0.819
9 Hg 0.500 0.638 0.819
10 Hg 0.500 0.181 0.362
11 Hg 0.000 0.500 0.000
12 Hg 0.500 0.362 0.181

Values from the calculation:
V = 27.14 Å³ per atom
DFT formation energy = -0.113 eV per atom



7.
The following is a DFT calculation (PBE-GGA) of a relaxed Tb5PrBi4 crystal.

a b c (Å): 4.455 7.855 11.614
angles (deg): 119.95 101.06 90.00
Each line ends with the local moment (μB).
Fractional positions:
1 Tb 0.812 0.711 0.625  0.34
2 Tb 0.805 0.221 0.610  0.26
3 Tb 0.195 0.779 0.390  0.26
4 Tb 0.500 0.500 0.000  0.03
5 Tb 0.188 0.289 0.375  0.34
6 Pr 0.500 0.000 0.000  0.03
7 Bi 0.363 0.054 0.726  0.01
8 Bi 0.936 0.646 0.872  0.00
9 Bi 0.637 0.946 0.274  0.01
10 Bi 0.064 0.354 0.128  0.00

Values from the calculation:
V = 34.34 Å³ per atom
DFT formation energy = -0.576 eV per atom



8.
The following is a DFT calculation (PBE-GGA) of a relaxed BeNbTc crystal.

a b c (Å): 3.223 3.223 4.691
angles (deg): 110.09 110.09 90.00
Fractional positions:
1 Be 0.273 0.273 0.547
2 Nb 0.950 0.950 0.899
3 Tc 0.627 0.627 0.254

Values from the calculation:
V = 14.19 Å³ per atom
DFT formation energy = -0.127 eV per atom



9.
The following is a DFT calculation (PBE-GGA) of a relaxed K2HoTmSe4 crystal.

a b c (Å): 4.180 7.238 8.046
angles (deg): 107.45 90.00 90.00
Fractional positions:
1 K 0.500 0.000 0.500
2 K 0.000 0.500 0.500
3 Ho 0.500 0.500 0.000
4 Tm 0.000 0.000 0.000
5 Se 0.500 0.233 0.203
6 Se 0.500 0.767 0.797
7 Se 0.000 0.264 0.796
8 Se 0.000 0.736 0.204

Values from the calculation:
V = 29.03 Å³ per atom
DFT total energy = -4.90 eV per atom



10.
The following is a DFT calculation (PBE-GGA) of a relaxed Li3CoN2 crystal.

a b c (Å): 4.663 4.663 5.888
angles (deg): 90.00 90.00 95.92
Each line ends with the local moment (μB).
Fractional positions:
1 Li 0.769 0.769 0.750  0.00
2 Li 0.231 0.231 0.250  0.00
3 Li 0.302 0.698 0.500  0.01
4 Li 0.302 0.698 0.000  0.01
5 Li 0.698 0.302 0.500  0.01
6 Li 0.698 0.302 0.000  0.01
7 Co 0.835 0.835 0.250  0.98
8 Co 0.165 0.165 0.750  0.98
9 N 0.558 0.558 0.250  0.20
10 N 0.442 0.442 0.750  0.20
11 N 0.000 0.000 0.500  0.12
12 N 0.000 0.000 0.000  0.12

Values from the calculation:
V = 10.61 Å³ per atom
DFT total energy = -5.22 eV per atom



11.
The following is a DFT calculation (PBE-GGA) of a relaxed Rb2Pb5Cl12 crystal.

a b c (Å): 7.998 8.693 10.924
angles (deg): 102.31 90.00 117.39
Fractional positions:
1 Rb 0.779 0.000 0.000
2 Rb 0.221 0.000 0.000
3 Pb 0.298 0.596 0.670
4 Pb 0.340 0.679 0.275
5 Pb 0.000 0.000 0.500
6 Pb 0.660 0.321 0.725
7 Pb 0.702 0.404 0.330
8 Cl 0.953 0.906 0.232
9 Cl 0.035 0.581 0.841
10 Cl 0.546 0.581 0.841
11 Cl 0.124 0.722 0.478
12 Cl 0.598 0.722 0.478
13 Cl 0.484 0.969 0.781
14 Cl 0.516 0.031 0.219
15 Cl 0.876 0.278 0.522
16 Cl 0.402 0.278 0.522
17 Cl 0.965 0.419 0.159
18 Cl 0.454 0.419 0.159
19 Cl 0.047 0.094 0.768

Values from the calculation:
V = 34.46 Å³ per atom
DFT total energy = -3.52 eV per atom



12.
The following is a DFT calculation (PBE-GGA) of a relaxed PaTeF crystal.

a b c (Å): 4.313 4.213 4.213
angles (deg): 120.00 90.00 90.00
Each line ends with the local moment (μB).
Fractional positions:
1 Pa 0.167 0.000 0.000  1.06
2 Te 0.667 0.667 0.333  -0.03
3 F 0.167 0.333 0.667  0.00

Values from the calculation:
V = 22.10 Å³ per atom
DFT total energy = -6.79 eV per atom



13.
The following is a DFT calculation (PBE-GGA) of a relaxed Ti4Pd2Au crystal.

a b c (Å): 6.840 6.840 6.840
angles (deg): 107.66 113.15 107.66
Fractional positions:
1 Ti 0.166 0.905 0.391
2 Ti 0.609 0.775 0.514
3 Ti 0.011 0.595 0.736
4 Ti 0.264 0.275 0.859
5 Ti 0.584 0.725 0.989
6 Ti 0.739 0.225 0.834
7 Ti 0.486 0.095 0.261
8 Ti 0.141 0.405 0.416
9 Pd 0.875 0.081 0.456
10 Pd 0.544 0.419 0.625
11 Pd 0.375 0.919 0.794
12 Pd 0.206 0.581 0.125
13 Au 0.000 0.000 0.000
14 Au 0.750 0.500 0.250

Values from the calculation:
V = 17.54 Å³ per atom
DFT formation energy = -0.185 eV per atom



14.
The following is a DFT calculation (PBE-GGA) of a relaxed Ca4RuRh crystal.

a b c (Å): 5.943 5.943 5.943
angles (deg): 60.00 60.00 60.00
Each line ends with the local moment (μB).
Fractional positions:
1 Ca 0.875 0.375 0.375  -0.03
2 Ca 0.375 0.375 0.875  -0.03
3 Ca 0.375 0.875 0.375  -0.03
4 Ca 0.375 0.375 0.375  -0.03
5 Ru 0.000 0.000 0.000  0.98
6 Rh 0.750 0.750 0.750  0.30

Values from the calculation:
V = 24.74 Å³ per atom
DFT formation energy = 0.972 eV per atom